w | DFT (PBE-GGA) results for a relaxed structure of ReAgPb2.

Cell: 5.030 5.030 5.030 Å, 60.00 60.00 60.00°
Last column: magnetic moment on the atom in μB.
Positions (direct):
1 Pb 0.000 0.000 0.000  -0.05
2 Pb 0.250 0.250 0.250  -0.03
3 Re 0.750 0.750 0.750  1.32
4 Ag 0.500 0.500 0.500  0.03

Values from the calculation:
Total magnetization   1.46 Bohr magnetons per cell



x | DFT (PBE-GGA) results for a relaxed structure of ReAgPb2.

Cell: 4.561 3.554 5.646 Å, 71.62 90.00 90.00°
Positions (direct):
1 Pb 0.000 0.980 0.914
2 Pb 0.500 0.272 0.333
3 Re 0.000 0.703 0.468
4 Ag 0.500 0.545 0.785

Values from the calculation:
Total magnetization   0.00 Bohr magnetons per cell



y | DFT (PBE-GGA) results for a relaxed structure of ReAgPb2.

Cell: 6.673 6.673 7.453 Å, 63.40 63.40 90.00°
Positions (direct):
1 Pb 0.655 0.125 0.250
2 Pb 0.095 0.625 0.250
3 Pb 0.375 0.345 0.750
4 Pb 0.875 0.905 0.750
5 Re 0.000 0.000 0.000
6 Re 0.750 0.250 0.500
7 Ag 0.500 0.500 0.000
8 Ag 0.250 0.750 0.500

Values from the calculation:
Total magnetization   0.00 Bohr magnetons per cell



Stability comparison, relative energies in meV per atom: w 368; x 0; y 568



w | DFT (PBE-GGA) results for a relaxed structure of ReAgPb2.

Cell: 9.620 9.620 9.620 Å, 19.67 19.67 19.67°
Positions (direct):
1 Pb 0.993 0.993 0.993
2 Pb 0.507 0.507 0.507
3 Re 0.250 0.250 0.250
4 Ag 0.750 0.750 0.750

Values from the calculation:
Total magnetization   0.00 Bohr magnetons per cell



x | DFT (PBE-GGA) results for a relaxed structure of ReAgPb2.

Cell: 3.310 5.874 5.949 Å, 48.33 90.00 90.00°
Last column: magnetic moment on the atom in μB.
Positions (direct):
1 Pb 0.000 0.000 0.000  -0.01
2 Pb 0.500 0.500 0.000  0.00
3 Re 0.500 0.500 0.500  0.65
4 Ag 0.000 0.000 0.500  0.01

Values from the calculation:
Total magnetization   0.73 Bohr magnetons per cell



y | DFT (PBE-GGA) results for a relaxed structure of ReAgPb2.

Cell: 4.980 4.980 5.911 Å, 80.55 80.55 37.38°
Last column: magnetic moment on the atom in μB.
Positions (direct):
1 Pb 0.009 0.009 0.984  0.01
2 Pb 0.491 0.491 0.516  0.01
3 Re 0.750 0.750 0.750  0.68
4 Ag 0.250 0.250 0.250  0.00

Values from the calculation:
Total magnetization   0.79 Bohr magnetons per cell



Stability comparison, relative energies in meV per atom: w 0; x 188; y 179



w | DFT (PBE-GGA) results for a relaxed structure of ReAgPb2.

Cell: 5.696 5.696 5.696 Å, 136.62 136.62 63.03°
Last column: magnetic moment on the atom in μB.
Positions (direct):
1 Pb 0.000 0.000 0.000  -0.01
2 Pb 0.250 0.750 0.500  -0.01
3 Re 0.500 0.500 0.000  1.03
4 Ag 0.750 0.250 0.500  -0.01

Values from the calculation:
Total magnetization   1.12 Bohr magnetons per cell



x | DFT (PBE-GGA) results for a relaxed structure of ReAgPb2.

Cell: 7.237 7.237 7.237 Å, 155.43 142.81 45.08°
Positions (direct):
1 Pb 0.989 0.989 0.000
2 Pb 0.697 0.197 0.500
3 Re 0.498 0.498 0.000
4 Ag 0.316 0.816 0.500

Values from the calculation:
Total magnetization   0.00 Bohr magnetons per cell



Stability comparison, relative energies in meV per atom: w 224; x 0



w | DFT (PBE-GGA) results for a relaxed structure of ReAgPb2.

Cell: 3.071 3.071 9.963 Å, 90.00 90.00 89.99°
Last column: magnetic moment on the atom in μB.
Positions (direct):
1 Pb 0.000 0.000 0.945  -0.01
2 Pb 0.500 0.500 0.313  -0.02
3 Re 0.000 0.000 0.528  0.71
4 Ag 0.500 0.500 0.714  0.02

Values from the calculation:
Total magnetization   0.77 Bohr magnetons per cell



x | DFT (PBE-GGA) results for a relaxed structure of ReAgPb2.

Cell: 11.198 11.198 11.198 Å, 16.03 16.03 16.03°
Last column: magnetic moment on the atom in μB.
Positions (direct):
1 Pb 0.014 0.014 0.014  0.01
2 Pb 0.232 0.232 0.232  0.01
3 Re 0.493 0.493 0.493  0.47
4 Ag 0.760 0.760 0.760  0.02

Values from the calculation:
Total magnetization   0.58 Bohr magnetons per cell



y | DFT (PBE-GGA) results for a relaxed structure of ReAgPb2.

Cell: 3.494 3.494 7.443 Å, 90.00 90.00 90.00°
Positions (direct):
1 Pb 0.000 0.000 0.943
2 Pb 0.500 0.500 0.312
3 Re 0.000 0.000 0.527
4 Ag 0.500 0.500 0.717

Values from the calculation:
Total magnetization   0.00 Bohr magnetons per cell



Stability comparison, relative energies in meV per atom: w 0; x 19; y 83



w | DFT (PBE-GGA) results for a relaxed structure of ReAgPb2.

Cell: 3.293 5.688 4.709 Å, 90.00 90.00 90.00°
Positions (direct):
1 Pb 0.000 0.000 0.000
2 Pb 0.500 0.500 0.000
3 Re 0.500 0.000 0.500
4 Ag 0.000 0.500 0.500

Values from the calculation:
Total magnetization   0.00 Bohr magnetons per cell



x | DFT (PBE-GGA) results for a relaxed structure of ReAgPb2.

Cell: 3.176 3.176 9.804 Å, 90.00 90.00 114.00°
Positions (direct):
1 Pb 0.000 0.000 0.021
2 Pb 0.000 0.000 0.479
3 Re 0.500 0.500 0.250
4 Ag 0.500 0.500 0.750

Values from the calculation:
Total magnetization   0.00 Bohr magnetons per cell



Stability comparison, relative energies in meV per atom: w 142; x 0



w | DFT (PBE-GGA) results for a relaxed structure of ReAgPb2.

Cell: 3.545 3.539 7.713 Å, 62.66 90.00 90.00°
Positions (direct):
1 Pb 0.000 0.983 0.018
2 Pb 0.000 0.517 0.482
3 Re 0.500 0.250 0.250
4 Ag 0.500 0.750 0.750

Values from the calculation:
Total magnetization   0.00 Bohr magnetons per cell



x | DFT (PBE-GGA) results for a relaxed structure of ReAgPb2.

Cell: 4.943 4.943 4.943 Å, 60.00 60.00 60.00°
Positions (direct):
1 Pb 0.250 0.250 0.250
2 Pb 0.750 0.750 0.750
3 Re 0.500 0.500 0.500
4 Ag 0.000 0.000 0.000

Values from the calculation:
Total magnetization   0.00 Bohr magnetons per cell



Stability comparison, relative energies in meV per atom: w 0; x 136



w | DFT (PBE-GGA) results for a relaxed structure of ReAgPb2.

Cell: 2.957 4.229 7.619 Å, 90.00 90.00 90.00°
Positions (direct):
1 Pb 0.000 0.000 0.927
2 Pb 0.500 0.500 0.321
3 Re 0.000 0.000 0.541
4 Ag 0.500 0.500 0.711

Values from the calculation:
Total magnetization   0.00 Bohr magnetons per cell



x | DFT (PBE-GGA) results for a relaxed structure of ReAgPb2.

Cell: 5.155 5.155 5.153 Å, 126.91 126.91 78.42°
Positions (direct):
1 Pb 0.000 0.000 0.000
2 Pb 0.500 0.500 0.000
3 Re 0.750 0.250 0.500
4 Ag 0.250 0.750 0.500

Values from the calculation:
Total magnetization   0.00 Bohr magnetons per cell



Stability comparison, relative energies in meV per atom: w 0; x 178



w | DFT (PBE-GGA) results for a relaxed structure of Re2Ag2Pb.

Cell: 6.960 6.960 4.032 Å, 90.00 90.00 90.00°
Positions (direct):
1 Pb 0.000 0.000 0.000
2 Pb 0.500 0.500 0.000
3 Re 0.382 0.882 0.000
4 Re 0.882 0.618 0.000
5 Re 0.618 0.118 0.000
6 Re 0.118 0.382 0.000
7 Ag 0.175 0.675 0.500
8 Ag 0.675 0.825 0.500
9 Ag 0.825 0.325 0.500
10 Ag 0.325 0.175 0.500

Values from the calculation:
Total magnetization   0.00 Bohr magnetons per cell



x | DFT (PBE-GGA) results for a relaxed structure of Re2Ag2Pb.

Cell: 3.953 3.953 6.946 Å, 73.47 73.47 90.00°
Last column: magnetic moment on the atom in μB.
Positions (direct):
1 Pb 0.000 0.000 0.000  0.00
2 Re 0.409 0.409 0.182  0.07
3 Re 0.591 0.591 0.818  0.07
4 Ag 0.750 0.250 0.500  0.00
5 Ag 0.250 0.750 0.500  0.00

Values from the calculation:
Total magnetization   0.17 Bohr magnetons per cell



Stability comparison, relative energies in meV per atom: w 0; x 228



w | DFT (PBE-GGA) results for a relaxed structure of AgRhPb4.

Cell: 7.055 7.055 7.847 Å, 116.72 116.72 90.00°
Positions (direct):
1 Ag 0.500 0.500 0.000
2 Ag 0.000 0.000 0.000
3 Rh 0.250 0.250 0.500
4 Rh 0.750 0.750 0.500
5 Pb 0.477 0.977 0.277
6 Pb 0.977 0.800 0.277
7 Pb 0.300 0.477 0.277
8 Pb 0.700 0.523 0.723
9 Pb 0.023 0.200 0.723
10 Pb 0.523 0.023 0.723
11 Pb 0.200 0.700 0.723
12 Pb 0.800 0.300 0.277

Values from the calculation:
Total magnetization   0.00 Bohr magnetons per cell



x | DFT (PBE-GGA) results for a relaxed structure of AgRhPb4.

Cell: 6.223 6.223 6.223 Å, 60.00 60.00 60.00°
Positions (direct):
1 Ag 0.000 0.000 0.000
2 Rh 0.750 0.750 0.750
3 Pb 0.873 0.376 0.376
4 Pb 0.376 0.376 0.873
5 Pb 0.376 0.873 0.376
6 Pb 0.376 0.376 0.376

Values from the calculation:
Total magnetization   0.00 Bohr magnetons per cell



y | DFT (PBE-GGA) results for a relaxed structure of AgRhPb4.

Cell: 5.975 8.318 7.919 Å, 115.33 103.98 104.96°
Positions (direct):
1 Ag 0.382 0.632 0.264
2 Ag 0.618 0.368 0.736
3 Rh 0.252 0.002 0.005
4 Rh 0.748 0.998 0.995
5 Pb 0.040 0.220 0.857
6 Pb 0.788 0.707 0.654
7 Pb 0.317 0.637 0.857
8 Pb 0.365 0.946 0.654
9 Pb 0.635 0.054 0.346
10 Pb 0.683 0.363 0.143
11 Pb 0.212 0.293 0.346
12 Pb 0.960 0.780 0.143

Values from the calculation:
Total magnetization   0.00 Bohr magnetons per cell



Stability comparison, relative energies in meV per atom: w 11; x 662; y 0



w | DFT (PBE-GGA) results for a relaxed structure of AgRhPb.

Cell: 5.346 5.346 5.346 Å, 141.91 141.91 54.97°
Positions (direct):
1 Ag 0.007 0.007 0.000
2 Rh 0.669 0.669 0.000
3 Pb 0.324 0.324 0.000

Values from the calculation:
Total magnetization   0.00 Bohr magnetons per cell



x | DFT (PBE-GGA) results for a relaxed structure of AgRhPb.

Cell: 4.598 4.598 3.183 Å, 90.00 90.00 120.00°
Positions (direct):
1 Ag 0.000 0.000 0.008
2 Rh 0.333 0.667 0.582
3 Pb 0.667 0.333 0.409

Values from the calculation:
Total magnetization   0.00 Bohr magnetons per cell



Stability comparison, relative energies in meV per atom: w 0; x 6



w | DFT (PBE-GGA) results for a relaxed structure of AgRhPb2.

Cell: 3.526 3.526 7.338 Å, 90.00 90.00 90.00°
Positions (direct):
1 Ag 0.500 0.500 0.720
2 Rh 0.000 0.000 0.519
3 Pb 0.000 0.000 0.941
4 Pb 0.500 0.500 0.320

Values from the calculation:
Total magnetization   0.00 Bohr magnetons per cell



x | DFT (PBE-GGA) results for a relaxed structure of AgRhPb2.

Cell: 8.734 8.734 6.770 Å, 49.84 49.84 90.00°
Positions (direct):
1 Pb 0.530 0.125 0.250
2 Pb 0.220 0.625 0.250
3 Pb 0.375 0.470 0.750
4 Pb 0.875 0.780 0.750
5 Rh 0.500 0.500 0.000
6 Rh 0.250 0.750 0.500
7 Ag 0.000 0.000 0.000
8 Ag 0.750 0.250 0.500

Values from the calculation:
Total magnetization   0.00 Bohr magnetons per cell



Stability comparison, relative energies in meV per atom: w 0; x 144



w | DFT (PBE-GGA) results for a relaxed structure of Ag2RhPb2.

Cell: 3.684 3.684 8.819 Å, 77.94 77.94 90.00°
Positions (direct):
1 Pb 0.407 0.407 0.186
2 Pb 0.593 0.593 0.814
3 Rh 0.000 0.000 0.000
4 Ag 0.750 0.250 0.500
5 Ag 0.250 0.750 0.500

Values from the calculation:
Total magnetization   0.00 Bohr magnetons per cell



x | DFT (PBE-GGA) results for a relaxed structure of Ag2RhPb2.

Cell: 7.282 7.282 4.251 Å, 90.00 90.00 90.00°
Positions (direct):
1 Pb 0.339 0.839 0.000
2 Pb 0.839 0.661 0.000
3 Pb 0.661 0.161 0.000
4 Pb 0.161 0.339 0.000
5 Rh 0.000 0.000 0.000
6 Rh 0.500 0.500 0.000
7 Ag 0.142 0.642 0.500
8 Ag 0.642 0.858 0.500
9 Ag 0.858 0.358 0.500
10 Ag 0.358 0.142 0.500

Values from the calculation:
Total magnetization   0.00 Bohr magnetons per cell



Stability comparison, relative energies in meV per atom: w 0; x 51